Below is a crystal of ZrTaS2 relaxed with PBEsol, with properties calculated at the meta-GGA SCAN level.

Structure (POSCAR):
```
ZrTaS2
1.0
0.000 3.117 3.117
3.117 0.000 3.117
3.117 3.117 0.000
Zr Ta S
1 1 2
direct
0.000 0.000 0.000
0.500 0.500 0.500
0.250 0.250 0.250
0.750 0.750 0.750
```

Output
As for the space group: Fm-3m (225). The value obtained for the polymorph energy (0 for the lowest one) is 0.000 eV/atom. The total energy is -30.05 eV/atom. For the uncorrected formation energy, the calculation gives -0.915 eV per atom. The calculation puts the size of the total moment at 0.000 μB/atom.